The following is a PBE calculation of a geometry-optimized Sr2InTe structure, from Alexandria.

## Properties
**Space group**: No. 139
**Fermi-level density of states**: 2.14 states/eV/cell
**Crystal system**: tetragonal
**E**: -12.218 eV per cell
**Relative energy among the computed polymorphs**: 15.30 kJ/mol of atoms
**Energy relative to the elements, uncorrected**: -0.74 eV per atom

abc: 6.041 6.041 6.041
angles: 127.11 127.13 78.06
Sites, in units of the cell vectors:
Sr  0.500  0.500  0.000
Sr  0.000  0.000  0.000
In  0.250  0.750  0.500
Te  0.750  0.250  0.500

The following is a PBE calculation of a geometry-optimized Sr2InTe structure, from Alexandria.

## Properties
**Space group**: No. 123
**Fermi-level density of states**: 2.87 states/eV/cell
**Crystal system**: tetragonal
**E**: -12.507 eV per cell
**Relative energy among the computed polymorphs**: 8.33 kJ/mol of atoms
**Energy relative to the elements, uncorrected**: -0.82 eV per atom

abc: 4.153 5.746 5.746
angles: 90.00 90.00 90.00
Sites, in units of the cell vectors:
Sr  0.000  0.000  0.000
Sr  0.000  0.500  0.500
In  0.500  0.000  0.500
Te  0.500  0.500  0.000

The following is a PBE calculation of a geometry-optimized SrInTe structure, from Alexandria.

## Properties
**Space group**: No. 156
**Fermi-level density of states**: 1.48 states/eV/cell
**Crystal system**: trigonal
**E**: -9.536 eV per cell
**Energy relative to the elements, uncorrected**: -0.66 eV per atom

abc: 5.314 5.314 4.204
angles: 90.00 90.00 120.00
Sites, in units of the cell vectors:
Sr  0.667  0.333  0.334
In  0.000  0.000  0.833
Te  0.333  0.667  0.834

The following is a PBE calculation of a geometry-optimized SrInTe2 structure, from Alexandria.

## Properties
**Space group**: No. 216
**Fermi-level density of states**: 2.66 states/eV/cell
**Crystal system**: cubic
**E**: -12.536 eV per cell
**Energy relative to the elements, uncorrected**: -0.46 eV per atom

abc: 5.679 5.679 5.679
angles: 60.00 60.00 60.00
Sites, in units of the cell vectors:
Te  0.000  0.000  0.000
Te  0.250  0.250  0.250
In  0.500  0.500  0.500
Sr  0.750  0.750  0.750